VASP calculation (PBE) on LaCoB after structural relaxation.

The structure belongs to space group F-43m (No. 216); the cell edges are 6.0115, 6.0115 and 6.0115 Å and the angles 90.00°, 90.00° and 90.00°. The inequivalent atoms are La at (0.0000, 0.0000, 0.0000), Co at (0.0000, 0.0000, 0.5000) and B at (0.2500, 0.2500, 0.7500).

The value obtained for the total energy is -5.79 eV/atom.

=====

VASP calculation (PBE) on RbCuPtS3 after structural relaxation.

The structure belongs to space group P2_1/m (No. 11); the cell edges are 7.8806, 3.7787 and 9.6717 Å and the angles 90.00°, 111.57° and 90.00°. The inequivalent atoms are Rb at (0.2443, 0.2500, 0.2027), Cu at (0.4307, 0.2500, 0.9114), Pt at (0.1650, 0.7500, 0.6486), S at (0.0403, 0.7500, 0.3807), S at (0.2557, 0.7500, 0.9184) and S at (0.3672, 0.2500, 0.6588).

The value obtained for the total energy is -4.38 eV/atom.

=====

VASP calculation (PBE) on AlInCu2Se3S after structural relaxation.

The structure belongs to space group P1 (No. 1); the cell edges are 5.6750, 5.6801 and 6.9062 Å and the angles 114.01°, 114.01° and 90.16°. The inequivalent atoms are Al at (0.0000, 0.0000, 0.0000), In at (0.2482, 0.7590, 0.4916), Cu at (0.5248, 0.5241, 0.0059), Cu at (0.7631, 0.2351, 0.4804), Se at (0.1209, 0.6187, 0.7598), Se at (0.3876, 0.3552, 0.2305), Se at (0.6551, 0.1535, 0.7589) and S at (0.8646, 0.8886, 0.2295).

The value obtained for the total energy is -4.12 eV/atom.

=====

VASP calculation (PBE) on Be2Ir3 after structural relaxation.

The structure belongs to space group P4/mbm (No. 127); the cell edges are 6.5576, 6.5576 and 2.7555 Å and the angles 90.00°, 90.00° and 90.00°. The inequivalent atoms are Be at (0.1212, 0.3788, 0.0000), Ir at (0.0000, 0.0000, 0.0000) and Ir at (0.1748, 0.6748, 0.5000).

The value obtained for the total energy is -7.14 eV/atom.

=====

VASP calculation (PBE) on DyGaHg2 after structural relaxation.

The structure belongs to space group Ama2 (No. 40); the cell edges are 4.9037, 11.2074 and 6.5865 Å and the angles 90.00°, 90.00° and 90.00°. The inequivalent atoms are Dy at (0.2500, 0.1647, 0.0000), Ga at (0.2500, 0.4236, 0.2496), Hg at (0.2500, 0.1627, 0.5122) and Hg at (0.2500, 0.4170, 0.7572).

The value obtained for the total energy is -2.42 eV/atom.

=====

VASP calculation (PBE) on CsTeOsAuS2 after structural relaxation.

The structure belongs to space group Cmcm (No. 63); the cell edges are 3.5278, 18.1853 and 10.4097 Å and the angles 90.00°, 90.00° and 90.00°. The inequivalent atoms are Cs at (0.0000, 0.2297, 0.2500), Te at (0.0000, 0.4507, 0.7500), Os at (0.0000, 0.5000, 0.0000), Au at (0.0000, 0.1046, 0.7500) and S at (0.0000, 0.0904, 0.5263).

The value obtained for the total energy is -4.63 eV/atom.

=====

VASP calculation (PBE) on HfUZn after structural relaxation.

The structure belongs to space group F-43m (No. 216); the cell edges are 6.5576, 6.5576 and 6.5576 Å and the angles 90.00°, 90.00° and 90.00°. The inequivalent atoms are Hf at (0.0000, 0.0000, 0.0000), U at (0.0000, 0.0000, 0.5000) and Zn at (0.2500, 0.2500, 0.2500).

The value obtained for the total energy is -6.78 eV/atom.

=====

VASP calculation (PBE) on BaFeCu2 after structural relaxation.

The structure belongs to space group F-43m (No. 216); the cell edges are 6.6554, 6.6554 and 6.6554 Å and the angles 90.00°, 90.00° and 90.00°. The inequivalent atoms are Ba at (0.0000, 0.0000, 0.0000), Fe at (0.2500, 0.2500, 0.7500), Cu at (0.0000, 0.0000, 0.5000) and Cu at (0.2500, 0.2500, 0.2500).

The value obtained for the total energy is -3.57 eV/atom.